Tb15Y4Tm | GGA-PBE | optimized geometry

```
Tb15Y4Tm
1.0
5.0350 0.0000 0.0000
0.0000 5.0350 0.0000
0.0000 0.0000 25.1640
Tb Y Tm
15 4 1
Direct
0.0000 0.0000 0.0000
0.0000 0.0000 0.1992
0.0000 0.0000 0.3998
0.0000 0.0000 0.6002
0.0000 0.0000 0.8008
0.0000 0.5000 0.0990
0.0000 0.5000 0.2995
0.0000 0.5000 0.5000
0.0000 0.5000 0.7005
0.0000 0.5000 0.9010
0.5000 0.0000 0.0990
0.5000 0.0000 0.2995
0.5000 0.0000 0.5000
0.5000 0.0000 0.7005
0.5000 0.0000 0.9010
0.5000 0.5000 0.1993
0.5000 0.5000 0.3997
0.5000 0.5000 0.6003
0.5000 0.5000 0.8007
0.5000 0.5000 0.0000
```

Summary:
DOS at the Fermi energy: 27.049 states/eV/cell
uncorrected energy: -99.41 eV for the cell shown
ΔH_f (0 K): 35 kJ/mol of formula units
symmetry: No. 123
spin magnetization: 0.00 μB per cell